1.
Computed, not measured: an optimized crystal structure of TaZn2Cl at the GGA-PBE level of DFT.

Cell: 8.0729 8.0729 4.8450 Å, 90.00 90.00 90.00°
Space group I-42d (No. 122)
Inequivalent atoms, fractional coordinates:
Ta  0.0000  0.0000  0.0000
Zn  0.2095  0.2500  0.1250
Cl  0.0000  0.0000  0.5000

Crystal system: tetragonal
Size of the total moment, μB per formula unit: 0.0
ΔE_f (raw), kJ per mole of atoms: 48.09

2.
Computed, not measured: an optimized crystal structure of TaZnCl at the GGA-PBE level of DFT.

Cell: 2.9686 2.9686 14.1278 Å, 90.00 90.00 90.00°
Space group I4mm (No. 107)
Inequivalent atoms, fractional coordinates:
Ta  0.0000  0.0000  0.0000
Zn  0.0000  0.0000  0.6246
Cl  0.0000  0.0000  0.3765

Crystal system: tetragonal
Size of the total moment, μB per formula unit: 0.0
ΔE_f (raw), kJ per mole of atoms: -4.26

3.
Computed, not measured: an optimized crystal structure of TaZn2Cl at the GGA-PBE level of DFT.

Cell: 3.0650 3.0650 28.7568 Å, 90.00 90.00 120.00°
Space group R3m (No. 160, hexagonal axes)
Inequivalent atoms, fractional coordinates:
Ta  0.0000  0.0000  0.0000
Zn  0.0000  0.0000  0.2582
Zn  0.0000  0.0000  0.5223
Cl  0.0000  0.0000  0.7286

Crystal system: trigonal
Size of the total moment, μB per formula unit: 0.0
ΔE_f (raw), kJ per mole of atoms: -13.56